KHg2IO2 | GGA-PBE | optimized geometry

## Properties
Uncorrected energy = -2.747 eV per atom

a = 7.7153 Å, b = 6.9034 Å, c = 7.7541 Å
α = 90.00°, β = 118.92°, γ = 90.00°
Sites, in units of the cell vectors:
K 0.1188 0.2500 0.4128
K 0.8812 0.7500 0.5872
Hg 0.3661 0.7500 0.2332
Hg 0.4264 0.7500 0.7033
Hg 0.5736 0.2500 0.2967
Hg 0.6339 0.2500 0.7668
I 0.0172 0.2500 0.8477
I 0.9828 0.7500 0.1523
O 0.3941 0.0382 0.6868
O 0.3941 0.4618 0.6868
O 0.6059 0.5382 0.3132
O 0.6059 0.9618 0.3132

La2PrSm5Er | GGA-PBE | optimized geometry

## Properties
D(E_F) = 27.529 states/eV per cell
Formation energy = 2.259 eV/f.u.

a = 10.1971 Å, b = 10.1971 Å, c = 10.1971 Å
α = 128.97°, β = 128.97°, γ = 75.07°
Sites, in units of the cell vectors:
La 0.1185 0.6185 0.7370
La 0.3815 0.1185 0.5000
La 0.6185 0.8815 0.5000
La 0.8815 0.3815 0.2630
Pr 0.2500 0.2500 0.0000
Pr 0.7500 0.7500 0.0000
Sm 0.0000 0.0000 0.0000
Sm 0.0754 0.1415 0.5000
Sm 0.1415 0.6415 0.0661
Sm 0.3585 0.4246 0.5000
Sm 0.4246 0.9246 0.0661
Sm 0.5000 0.5000 0.0000
Sm 0.5754 0.0754 0.9339
Sm 0.6415 0.5754 0.5000
Sm 0.8585 0.3585 0.9339
Sm 0.9246 0.8585 0.5000
Er 0.2500 0.7500 0.5000
Er 0.7500 0.2500 0.5000

MgCrSb3 | GGA-PBE | optimized geometry

## Properties
D(E_F) = 3.501 states/eV per cell
E above lowest polymorph = 0.000 eV/atom

a = 5.1111 Å, b = 5.1111 Å, c = 5.1111 Å
α = 90.00°, β = 90.00°, γ = 90.00°
Sites, in units of the cell vectors:
Mg 0.0000 0.0000 0.0000
Cr 0.5000 0.5000 0.5000
Sb 0.0000 0.5000 0.5000
Sb 0.5000 0.0000 0.5000
Sb 0.5000 0.5000 0.0000

SrTb2PmSe4 | GGA-PBE | optimized geometry

## Properties
D(E_F) = 3.023 states/eV per cell
Uncorrected energy = -5.541 eV per atom

a = 7.2778 Å, b = 4.1662 Å, c = 7.2790 Å
α = 90.00°, β = 109.04°, γ = 90.00°
Sites, in units of the cell vectors:
Sr 0.0000 0.0000 0.0000
Tb 0.0000 0.5000 0.5000
Tb 0.5000 0.0000 0.5000
Pm 0.5000 0.5000 0.0000
Se 0.2488 0.0000 0.7388
Se 0.2580 0.5000 0.2643
Se 0.7420 0.5000 0.7357
Se 0.7512 0.0000 0.2612

Cs3Hg5Te2 | GGA-PBE | optimized geometry

## Properties
D(E_F) = 1.846 states/eV per cell
Uncorrected energy = -1.511 eV per atom

a = 11.0880 Å, b = 11.0880 Å, c = 11.0880 Å
α = 106.09°, β = 88.61°, γ = 138.35°
Sites, in units of the cell vectors:
Cs 0.1305 0.7188 0.8493
Cs 0.2500 0.2500 0.0000
Cs 0.3695 0.2188 0.5883
Cs 0.6305 0.7812 0.4117
Cs 0.7500 0.7500 0.0000
Cs 0.8695 0.2812 0.1507
Hg 0.0036 0.2500 0.7536
Hg 0.1244 0.4007 0.5252
Hg 0.2500 0.7500 0.5000
Hg 0.3756 0.9007 0.2763
Hg 0.4964 0.2500 0.2464
Hg 0.5036 0.7500 0.7536
Hg 0.6244 0.0993 0.7237
Hg 0.7500 0.2500 0.5000
Hg 0.8756 0.5993 0.4748
Hg 0.9964 0.7500 0.2464
Te 0.1316 0.1813 0.3129
Te 0.3684 0.6813 0.0498
Te 0.6316 0.3187 0.9502
Te 0.8684 0.8187 0.6871

Pm5GaNi2 | GGA-PBE | optimized geometry

## Properties
D(E_F) = 15.332 states/eV per cell
Formation energy = -2.518 eV/f.u.

a = 8.6113 Å, b = 8.6113 Å, c = 8.6113 Å
α = 125.99°, β = 125.99°, γ = 79.90°
Sites, in units of the cell vectors:
Pm 0.0000 0.0000 0.0000
Pm 0.0208 0.5208 0.8230
Pm 0.1978 0.0208 0.5000
Pm 0.3022 0.8022 0.8230
Pm 0.4792 0.3022 0.5000
Pm 0.5000 0.5000 0.0000
Pm 0.5208 0.6978 0.5000
Pm 0.6978 0.1978 0.1770
Pm 0.8022 0.9792 0.5000
Pm 0.9792 0.4792 0.1770
Ga 0.2500 0.2500 0.0000
Ga 0.7500 0.7500 0.0000
Ni 0.1227 0.3773 0.5000
Ni 0.3773 0.8773 0.2546
Ni 0.6227 0.1227 0.7454
Ni 0.8773 0.6227 0.5000

BaAsN | GGA-PBE | optimized geometry

## Properties
D(E_F) = 0.494 states/eV per cell
E above lowest polymorph = 0.143 eV/atom

a = 5.9712 Å, b = 4.3491 Å, c = 6.0277 Å
α = 90.00°, β = 103.95°, γ = 90.00°
Sites, in units of the cell vectors:
Ba 0.2143 0.2500 0.3535
Ba 0.7857 0.7500 0.6465
As 0.3518 0.7500 0.9272
As 0.6482 0.2500 0.0728
N 0.2770 0.7500 0.6192
N 0.7230 0.2500 0.3808

KCaAl2Cl8 | GGA-PBE | optimized geometry

## Properties
D(E_F) = 5.012 states/eV per cell
Uncorrected energy = -3.717 eV per atom

a = 10.3793 Å, b = 10.3793 Å, c = 10.3793 Å
α = 37.37°, β = 37.37°, γ = 37.37°
Sites, in units of the cell vectors:
K 0.0000 0.0000 0.0000
Ca 0.5000 0.5000 0.5000
Al 0.2483 0.2483 0.2483
Al 0.7517 0.7517 0.7517
Cl 0.0956 0.7794 0.4519
Cl 0.2206 0.5480 0.9044
Cl 0.3237 0.3237 0.3237
Cl 0.4519 0.0956 0.7794
Cl 0.5481 0.9044 0.2206
Cl 0.6763 0.6763 0.6763
Cl 0.7794 0.4519 0.0956
Cl 0.9044 0.2206 0.5480